<A>
! PBE RbBeTcOs, relaxed; values from VASP
! ρ   9.56 g cm⁻³
! Total magnetization   0.0007 μB/atom
&SYSTEM
  ibrav = 0, nat = 16, ntyp = 4
/
ATOMIC_SPECIES
Rb 85.47 Rb.upf
Be 9.01 Be.upf
Tc 98.00 Tc.upf
Os 190.23 Os.upf
CELL_PARAMETERS angstrom
6.431 0.000 0.000
0.000 6.431 0.000
0.000 0.000 6.431
ATOMIC_POSITIONS crystal
Rb 0.000 0.000 0.000
Rb 0.000 0.500 0.500
Rb 0.500 0.000 0.500
Rb 0.500 0.500 0.000
Be 0.250 0.250 0.750
Be 0.250 0.750 0.250
Be 0.750 0.250 0.250
Be 0.750 0.750 0.750
Tc 0.250 0.250 0.250
Tc 0.250 0.750 0.750
Tc 0.750 0.250 0.750
Tc 0.750 0.750 0.250
Os 0.000 0.000 0.500
Os 0.000 0.500 0.000
Os 0.500 0.000 0.000
Os 0.500 0.500 0.500



<B>
! PBE RbBeTcOs, relaxed; values from VASP
! ρ   9.86 g cm⁻³
! Total magnetization   0.4575 μB/atom
&SYSTEM
  ibrav = 0, nat = 16, ntyp = 4
/
ATOMIC_SPECIES
Rb 85.47 Rb.upf
Be 9.01 Be.upf
Tc 98.00 Tc.upf
Os 190.23 Os.upf
CELL_PARAMETERS angstrom
6.364 0.000 0.000
0.000 6.364 0.000
0.000 0.000 6.364
ATOMIC_POSITIONS crystal
Rb 0.000 0.000 0.000
Rb 0.000 0.500 0.500
Rb 0.500 0.000 0.500
Rb 0.500 0.500 0.000
Be 0.000 0.000 0.500
Be 0.000 0.500 0.000
Be 0.500 0.000 0.000
Be 0.500 0.500 0.500
Tc 0.250 0.250 0.250
Tc 0.250 0.750 0.750
Tc 0.750 0.250 0.750
Tc 0.750 0.750 0.250
Os 0.250 0.250 0.750
Os 0.250 0.750 0.250
Os 0.750 0.250 0.250
Os 0.750 0.750 0.750



Energies relative to the most stable structure are <A> 0; <B> 455, reported in meV/atom.



<A>
! PBE SrBeTeOs, relaxed; values from VASP
! ρ   8.28 g cm⁻³
! Total magnetization   0.0052 μB/atom
&SYSTEM
  ibrav = 0, nat = 16, ntyp = 4
/
ATOMIC_SPECIES
Sr 87.62 Sr.upf
Be 9.01 Be.upf
Te 127.60 Te.upf
Os 190.23 Os.upf
CELL_PARAMETERS angstrom
6.927 0.000 0.000
0.000 6.927 0.000
0.000 0.000 6.927
ATOMIC_POSITIONS crystal
Sr 0.000 0.000 0.000
Sr 0.000 0.500 0.500
Sr 0.500 0.000 0.500
Sr 0.500 0.500 0.000
Be 0.000 0.000 0.500
Be 0.000 0.500 0.000
Be 0.500 0.000 0.000
Be 0.500 0.500 0.500
Te 0.250 0.250 0.750
Te 0.250 0.750 0.250
Te 0.750 0.250 0.250
Te 0.750 0.750 0.750
Os 0.250 0.250 0.250
Os 0.250 0.750 0.750
Os 0.750 0.250 0.750
Os 0.750 0.750 0.250



<B>
! PBE SrBeTeOs, relaxed; values from VASP
! ρ   8.92 g cm⁻³
! Total magnetization   0.0002 μB/atom
&SYSTEM
  ibrav = 0, nat = 16, ntyp = 4
/
ATOMIC_SPECIES
Sr 87.62 Sr.upf
Be 9.01 Be.upf
Te 127.60 Te.upf
Os 190.23 Os.upf
CELL_PARAMETERS angstrom
6.759 0.000 0.000
0.000 6.759 0.000
0.000 0.000 6.759
ATOMIC_POSITIONS crystal
Sr 0.000 0.000 0.000
Sr 0.000 0.500 0.500
Sr 0.500 0.000 0.500
Sr 0.500 0.500 0.000
Be 0.250 0.250 0.250
Be 0.250 0.750 0.750
Be 0.750 0.250 0.750
Be 0.750 0.750 0.250
Te 0.250 0.250 0.750
Te 0.250 0.750 0.250
Te 0.750 0.250 0.250
Te 0.750 0.750 0.750
Os 0.000 0.000 0.500
Os 0.000 0.500 0.000
Os 0.500 0.000 0.000
Os 0.500 0.500 0.500



Energies relative to the most stable structure are <A> 404; <B> 0, reported in meV/atom.